! SCAN CsBe2P2, single point on PBEsol structure; values from VASP
&SYSTEM
  ibrav = 0, nat = 5, ntyp = 3
/
ATOMIC_SPECIES
P 30.97 P.upf
Cs 132.91 Cs.upf
Be 9.01 Be.upf
ATOMIC_POSITIONS crystal
P 0.338 0.338 0.675
P 0.662 0.662 0.325
Cs 0.000 0.000 0.000
Be 0.750 0.250 0.500
Be 0.250 0.750 0.500
CELL_PARAMETERS angstrom
3.540 0.000 0.000
0.000 3.540 0.000
-1.770 -1.770 7.612
! - Symmetry: I4/mmm (139)
! - Calculated formation energy: -0.414 eV per atom
! - Spin magnetization: 0.0 μB/f.u.
! - Theoretical density: 3706 kg/m3


! SCAN CsBe3P, single point on PBEsol structure; values from VASP
&SYSTEM
  ibrav = 0, nat = 5, ntyp = 3
/
ATOMIC_SPECIES
P 30.97 P.upf
Be 9.01 Be.upf
Cs 132.91 Cs.upf
ATOMIC_POSITIONS crystal
P 0.500 0.500 0.500
Be 0.000 0.000 0.500
Be 0.000 0.500 0.000
Be 0.500 0.000 0.000
Cs 0.000 0.000 0.000
CELL_PARAMETERS angstrom
-0.325 -0.528 4.799
-0.171 -4.805 -0.540
4.825 -0.206 0.304
! - Symmetry: Pm-3m (221)
! - Calculated formation energy: 2.862 eV per atom
! - Spin magnetization: 0.0 μB/f.u.
! - Theoretical density: 2798 kg/m3


! SCAN CsBeP2S, single point on PBEsol structure; values from VASP
&SYSTEM
  ibrav = 0, nat = 5, ntyp = 4
/
ATOMIC_SPECIES
P 30.97 P.upf
Cs 132.91 Cs.upf
Be 9.01 Be.upf
S 32.06 S.upf
ATOMIC_POSITIONS crystal
P 0.500 0.000 0.000
P 0.000 0.500 0.000
Cs 0.500 0.500 0.500
Be 0.000 0.000 0.000
S 0.000 0.000 0.500
CELL_PARAMETERS angstrom
4.526 0.000 0.000
0.000 4.526 0.000
0.000 0.000 4.792
! - Symmetry: P4/mmm (123)
! - Spin magnetization: 0.0 μB/f.u.
! - Raw formation energy: 0.402 eV per atom
! - Theoretical density: 3992 kg/m3


! SCAN CsBePd2Pb, single point on PBEsol structure; values from VASP
&SYSTEM
  ibrav = 0, nat = 5, ntyp = 4
/
ATOMIC_SPECIES
Cs 132.91 Cs.upf
Pb 207.20 Pb.upf
Be 9.01 Be.upf
Pd 106.42 Pd.upf
ATOMIC_POSITIONS crystal
Cs 0.500 0.500 0.500
Pb 0.000 0.000 0.000
Be 0.500 0.000 0.000
Pd 0.000 0.500 0.000
Pd 0.000 0.000 0.500
CELL_PARAMETERS angstrom
4.676 0.000 0.000
0.000 5.288 0.000
0.000 0.000 5.288
! - Symmetry: P4/mmm (123)
! - Calculated formation energy: 0.468 eV per atom
! - Spin magnetization: 0.0 μB/f.u.
! - Theoretical density: 7136 kg/m3


! SCAN CsBe3Pt, single point on PBEsol structure; values from VASP
&SYSTEM
  ibrav = 0, nat = 5, ntyp = 3
/
ATOMIC_SPECIES
Cs 132.91 Cs.upf
Be 9.01 Be.upf
Pt 195.08 Pt.upf
ATOMIC_POSITIONS crystal
Cs 0.500 0.500 0.500
Be 0.500 0.000 0.000
Be 0.000 0.500 0.000
Be 0.000 0.000 0.500
Pt 0.000 0.000 0.000
CELL_PARAMETERS angstrom
4.559 0.000 0.000
0.000 4.559 0.000
0.000 0.000 4.559
! - Symmetry: Pm-3m (221)
! - Calculated formation energy: 0.160 eV per atom
! - Spin magnetization: 0.0 μB/f.u.
! - Theoretical density: 6221 kg/m3


! SCAN CsBe2S2, single point on PBEsol structure; values from VASP
&SYSTEM
  ibrav = 0, nat = 5, ntyp = 3
/
ATOMIC_SPECIES
S 32.06 S.upf
Be 9.01 Be.upf
Cs 132.91 Cs.upf
ATOMIC_POSITIONS crystal
S 0.332 0.332 0.663
S 0.668 0.668 0.337
Be 0.250 0.750 0.500
Be 0.750 0.250 0.500
Cs 0.000 0.000 0.000
CELL_PARAMETERS angstrom
3.650 0.000 0.000
0.000 3.650 0.000
-1.825 -1.825 7.039
! - Symmetry: I4/mmm (139)
! - Spin magnetization: 0.0 μB/f.u.
! - Raw formation energy: -0.742 eV per atom
! - Theoretical density: 3808 kg/m3


! SCAN Cs2BeSbSe, single point on PBEsol structure; values from VASP
&SYSTEM
  ibrav = 0, nat = 5, ntyp = 4
/
ATOMIC_SPECIES
Sb 121.76 Sb.upf
Cs 132.91 Cs.upf
Be 9.01 Be.upf
Se 78.96 Se.upf
ATOMIC_POSITIONS crystal
Sb 0.500 0.000 0.000
Cs 0.000 0.000 0.500
Cs 0.000 0.500 0.000
Be 0.500 0.500 0.500
Se 0.000 0.000 0.000
CELL_PARAMETERS angstrom
5.407 0.000 0.000
0.000 6.728 0.000
0.000 0.000 6.728
! - Symmetry: P4/mmm (123)
! - Spin magnetization: 0.0 μB/f.u.
! - Raw formation energy: 0.219 eV per atom
! - Theoretical density: 3226 kg/m3


! SCAN Cs3BeSn, single point on PBEsol structure; values from VASP
&SYSTEM
  ibrav = 0, nat = 5, ntyp = 3
/
ATOMIC_SPECIES
Cs 132.91 Cs.upf
Be 9.01 Be.upf
Sn 118.71 Sn.upf
ATOMIC_POSITIONS crystal
Cs 0.500 0.000 0.000
Cs 0.000 0.500 0.000
Cs 0.000 0.000 0.500
Be 0.000 0.000 0.000
Sn 0.500 0.500 0.500
CELL_PARAMETERS angstrom
-0.401 -5.349 3.772
5.562 1.713 3.021
-3.449 3.384 4.432
! - Symmetry: Pm-3m (221)
! - Calculated formation energy: 0.644 eV per atom
! - Spin magnetization: 1.1 μB/f.u.
! - Theoretical density: 3101 kg/m3


! SCAN CsSrBe3, single point on PBEsol structure; values from VASP
&SYSTEM
  ibrav = 0, nat = 5, ntyp = 3
/
ATOMIC_SPECIES
Be 9.01 Be.upf
Cs 132.91 Cs.upf
Sr 87.62 Sr.upf
ATOMIC_POSITIONS crystal
Be 0.500 0.000 0.000
Be 0.000 0.500 0.000
Be 0.000 0.000 0.500
Cs 0.500 0.500 0.500
Sr 0.000 0.000 0.000
CELL_PARAMETERS angstrom
5.854 0.000 0.000
0.000 5.854 0.000
0.000 0.000 5.854
! - Symmetry: Pm-3m (221)
! - Calculated formation energy: 1.585 eV per atom
! - Spin magnetization: 0.0 μB/f.u.
! - Theoretical density: 2050 kg/m3


! SCAN Cs2BeTe2, single point on PBEsol structure; values from VASP
&SYSTEM
  ibrav = 0, nat = 5, ntyp = 3
/
ATOMIC_SPECIES
Te 127.60 Te.upf
Cs 132.91 Cs.upf
Be 9.01 Be.upf
ATOMIC_POSITIONS crystal
Te 0.250 0.750 0.500
Te 0.750 0.250 0.500
Cs 0.609 0.609 0.218
Cs 0.391 0.391 0.782
Be 0.000 0.000 0.000
CELL_PARAMETERS angstrom
4.465 0.000 0.000
0.000 4.465 0.000
-2.232 -2.232 10.752
! - Symmetry: I4/mmm (139)
! - Spin magnetization: 0.8 μB/f.u.
! - Raw formation energy: 0.075 eV per atom
! - Theoretical density: 4107 kg/m3


! SCAN Cs3YBe, single point on PBEsol structure; values from VASP
&SYSTEM
  ibrav = 0, nat = 5, ntyp = 3
/
ATOMIC_SPECIES
Cs 132.91 Cs.upf
Y 88.91 Y.upf
Be 9.01 Be.upf
ATOMIC_POSITIONS crystal
Cs 0.500 0.000 0.000
Cs 0.000 0.500 0.000
Cs 0.000 0.000 0.500
Y 0.000 0.000 0.000
Be 0.500 0.500 0.500
CELL_PARAMETERS angstrom
-3.537 2.140 -6.016
-6.371 -1.639 3.163
-0.423 6.784 2.662
! - Symmetry: Pm-3m (221)
! - Calculated formation energy: 1.318 eV per atom
! - Spin magnetization: 4.2 μB/f.u.
! - Theoretical density: 2120 kg/m3


! SCAN CsZrBe2Zn, single point on PBEsol structure; values from VASP
&SYSTEM
  ibrav = 0, nat = 5, ntyp = 4
/
ATOMIC_SPECIES
Zn 65.41 Zn.upf
Be 9.01 Be.upf
Zr 91.22 Zr.upf
Cs 132.91 Cs.upf
ATOMIC_POSITIONS crystal
Zn 0.000 0.000 0.500
Be 0.500 0.000 0.000
Be 0.000 0.500 0.000
Zr 0.500 0.500 0.500
Cs 0.000 0.000 0.000
CELL_PARAMETERS angstrom
4.741 0.000 0.000
0.000 4.741 0.000
0.000 0.000 5.194
! - Symmetry: P4/mmm (123)
! - Calculated formation energy: 2.211 eV per atom
! - Spin magnetization: 0.0 μB/f.u.
! - Theoretical density: 4374 kg/m3